VASP calculation (PBE) on a relaxed NaSnHgGe crystal.

Computed properties:
* calculated total energy: -40.83 eV/cell
* DFT formation energy: 0.0087 eV per atom

Cell: 7.2936 7.2936 7.2936 Å, 90.00 90.00 90.00°
With the nearest neighbours (Å) after each atom.
Space group F-43m (No. 216)
Unique sites:
Na: 0.0000 0.0000 0.0000 (multiplicity 4)  4 Ge 3.16, 4 Hg 3.16
Sn: 0.0000 0.0000 0.5000 (multiplicity 4)  4 Hg 3.16, 4 Ge 3.16
Hg: 0.2500 0.2500 0.7500 (multiplicity 4)  4 Na 3.16, 4 Sn 3.16
Ge: 0.2500 0.2500 0.2500 (multiplicity 4)  4 Sn 3.16, 4 Na 3.16

VASP calculation (PBE) on a relaxed Sb2As crystal.

Computed properties:
* uncorrected formation energy: 0.067 eV per atom
* calculated total energy: -50.78 eV/cell
* ΔE to the lowest computed polymorph: 0.00 eV per formula unit

Cell: 12.7080 4.2179 6.0915 Å, 90.00 90.39 90.00°
With the nearest neighbours (Å) after each atom.
Space group C2/m (No. 12)
Unique sites:
Sb: 0.0081 0.0000 0.2575 (multiplicity 4)  2 As 2.94, 4 Sb 2.96-3.14
Sb: 0.1686 0.5000 0.7756 (multiplicity 4)  3 As 2.78-2.95, 2 Sb 3.09
As: 0.1693 0.5000 0.2313 (multiplicity 4)  5 Sb 2.78-2.95

VASP calculation (PBE) on a relaxed Tb2Np2Pt15 crystal.

Computed properties:
* calculated total energy: -410.83 eV/cell
* DFT formation energy: -0.5889 eV per atom

Cell: 9.2744 9.2744 13.8647 Å, 90.00 90.00 120.00°
With the nearest neighbours (Å) after each atom.
Space group R-3m (No. 166, hexagonal axes)
Unique sites:
Tb: 0.0000 0.0000 0.1423 (multiplicity 6)  12 Pt 3.15-3.35
Np: 0.0000 0.0000 0.4170 (multiplicity 6)  1 Np 2.30
Pt: 0.0000 0.3238 0.5000 (multiplicity 18)  8 Pt 2.76-3.00
Pt: 0.0000 0.5000 0.0000 (multiplicity 9)  8 Pt 2.69-2.76, 2 Np 2.92
Pt: 0.0027 0.5013 0.6612 (multiplicity 18)  8 Pt 2.66-2.82, 1 Np 2.97

VASP calculation (PBE) on a relaxed PuAlP2O8 crystal.

Computed properties:
* uncorrected formation energy: -2.617 eV per atom
* calculated total energy: -99.96 eV/cell

Cell: 4.9907 4.9907 6.6142 Å, 90.00 90.00 120.00°
With the nearest neighbours (Å) after each atom.
Space group P-3 (No. 147)
Unique sites:
Pu: 0.0000 0.0000 0.0000 (multiplicity 1)  6 O 2.56
Al: 0.0000 0.0000 0.5000 (multiplicity 1)  6 O 1.89
P: 0.3333 0.6667 0.7534 (multiplicity 2)  4 O 1.54
O: 0.1168 0.3316 0.6814 (multiplicity 6)  1 P 1.54
O: 0.3333 0.6667 0.9862 (multiplicity 2)  1 P 1.54

VASP calculation (PBE) on a relaxed Hf2Zn3Ni4 crystal.

Computed properties:
* calculated total energy: -198.79 eV/cell
* DFT formation energy: -0.3159 eV per atom

Cell: 5.0666 14.9058 6.8247 Å, 90.00 90.00 90.00°
With the nearest neighbours (Å) after each atom.
Space group Cmce (No. 64)
Unique sites:
Hf: 0.0000 0.1017 0.0918 (multiplicity 8)  5 Ni 2.69-2.79, 2 Zn 2.94
Zn: 0.0000 0.0000 0.5000 (multiplicity 4)  6 Ni 2.37-2.43
Zn: 0.2500 0.2357 0.7500 (multiplicity 8)  5 Ni 2.46-2.51, 2 Zn 2.53
Ni: 0.0000 0.1630 0.4773 (multiplicity 8)  5 Zn 2.43-2.51, 2 Ni 2.64
Ni: 0.2500 0.0706 0.7500 (multiplicity 8)  3 Zn 2.37-2.46, 4 Ni 2.53-2.64

VASP calculation (PBE) on a relaxed DyHo2Er2 crystal.

Computed properties:
* calculated total energy: -162.97 eV/cell
* ΔE to the lowest computed polymorph: 2.06 eV per formula unit
* DFT formation energy: 0.5025 eV per atom

Cell: 5.4243 11.5939 22.2760 Å, 90.00 90.00 90.00°
With the nearest neighbours (Å) after each atom.
Space group Fddd (No. 70, origin choice 2)
Unique sites:
Dy: 0.1250 0.1250 0.1250 (multiplicity 8)  4 Er 3.21, 4 Ho 3.34
Ho: 0.1250 0.2930 0.6250 (multiplicity 16)  2 Ho 3.31, 2 Dy 3.34, 2 Er 3.48
Er: 0.0000 0.0000 0.0000 (multiplicity 16)  2 Er 3.20, 2 Dy 3.21, 2 Ho 3.48

- What is the calculated total energy in the first record?
  -40.83 eV/cell

What did the third record say?
VASP calculation (PBE) on a relaxed Tb2Np2Pt15 crystal.

Computed properties:
* calculated total energy: -410.83 eV/cell
* DFT formation energy: -0.5889 eV per atom

Cell: 9.2744 9.2744 13.8647 Å, 90.00 90.00 120.00°
With the nearest neighbours (Å) after each atom.
Space group R-3m (No. 166, hexagonal axes)
Unique sites:
Tb: 0.0000 0.0000 0.1423 (multiplicity 6)  12 Pt 3.15-3.35
Np: 0.0000 0.0000 0.4170 (multiplicity 6)  1 Np 2.30
Pt: 0.0000 0.3238 0.5000 (multiplicity 18)  8 Pt 2.76-3.00
Pt: 0.0000 0.5000 0.0000 (multiplicity 9)  8 Pt 2.69-2.76, 2 Np 2.92
Pt: 0.0027 0.5013 0.6612 (multiplicity 18)  8 Pt 2.66-2.82, 1 Np 2.97

- Which formula does entry 3 have?
  Tb2Np2Pt15